Below is ScNi2S after structural relaxation, with properties calculated at the PBE level.

```
data_ScNi2S
_cell_length_a 3.6188
_cell_length_b 3.6188
_cell_length_c 17.6017
_cell_angle_alpha 90.00
_cell_angle_beta 90.00
_cell_angle_gamma 90.00
_symmetry_space_group_name_H-M 'I -4 2 d'
_symmetry_Int_Tables_number 122
_symmetry_space_group_name_Hall 'I -4 2bw'
loop_
_atom_site_label
_atom_site_type_symbol
_atom_site_fract_x
_atom_site_fract_y
_atom_site_fract_z
Sc1 Sc 0.0000 0.0000 0.0000
Ni1 Ni 0.2262 0.2500 0.6250
S1 S 0.0000 0.0000 0.5000
```

The uncorrected formation energy comes out at -0.487 eV/atom. The total magnetization comes out at 0.00 μB/cell. The density of states at the Fermi level is 2.2 states/eV/f.u.



Below is ScNiS2 after structural relaxation, with properties calculated at the PBE level.

```
data_ScNiS2
_cell_length_a 3.7411
_cell_length_b 3.7411
_cell_length_c 21.2296
_cell_angle_alpha 90.00
_cell_angle_beta 90.00
_cell_angle_gamma 120.00
_symmetry_space_group_name_H-M 'R -3 m'
_symmetry_Int_Tables_number 166
_symmetry_space_group_name_Hall '-R 3 2"'
loop_
_atom_site_label
_atom_site_type_symbol
_atom_site_fract_x
_atom_site_fract_y
_atom_site_fract_z
Sc1 Sc 0.0000 0.0000 0.0000
Ni1 Ni 0.0000 0.0000 0.5000
S1 S 0.0000 0.0000 0.3996
```

The uncorrected formation energy comes out at -0.980 eV/atom. The total magnetization comes out at 2.96 μB/cell. The density of states at the Fermi level is 5.5 states/eV/f.u.



Below is ScNi3S after structural relaxation, with properties calculated at the PBE level.

```
data_ScNi3S
_cell_length_a 4.1727
_cell_length_b 4.1727
_cell_length_c 4.1727
_cell_angle_alpha 90.00
_cell_angle_beta 90.00
_cell_angle_gamma 90.00
_symmetry_space_group_name_H-M 'P m -3 m'
_symmetry_Int_Tables_number 221
_symmetry_space_group_name_Hall '-P 4 2 3'
loop_
_atom_site_label
_atom_site_type_symbol
_atom_site_fract_x
_atom_site_fract_y
_atom_site_fract_z
Sc1 Sc 0.0000 0.0000 0.0000
Ni1 Ni 0.0000 0.5000 0.5000
S1 S 0.5000 0.5000 0.5000
```

The uncorrected formation energy comes out at -0.301 eV/atom. The total magnetization comes out at 0.00 μB/cell. The calculation puts the polymorph energy (0 for the lowest one) at 0.0 meV per atom. The density of states at the Fermi level is 2.4 states/eV/f.u.



Below is ScNi3S after structural relaxation, with properties calculated at the PBE level.

```
data_ScNi3S
_cell_length_a 4.4556
_cell_length_b 4.4556
_cell_length_c 4.4556
_cell_angle_alpha 90.00
_cell_angle_beta 90.00
_cell_angle_gamma 90.00
_symmetry_space_group_name_H-M 'P m -3 m'
_symmetry_Int_Tables_number 221
_symmetry_space_group_name_Hall '-P 4 2 3'
loop_
_atom_site_label
_atom_site_type_symbol
_atom_site_fract_x
_atom_site_fract_y
_atom_site_fract_z
Sc1 Sc 0.0000 0.0000 0.0000
Ni1 Ni 0.0000 0.0000 0.5000
S1 S 0.5000 0.5000 0.5000
```

The uncorrected formation energy comes out at 1.193 eV/atom. The total magnetization comes out at 0.00 μB/cell. The calculation puts the polymorph energy (0 for the lowest one) at 1493.9 meV per atom. The density of states at the Fermi level is 3.1 states/eV/f.u.



Below is Sc2NiS after structural relaxation, with properties calculated at the PBE level.

```
data_Sc2NiS
_cell_length_a 3.6306
_cell_length_b 3.6306
_cell_length_c 19.1488
_cell_angle_alpha 90.00
_cell_angle_beta 90.00
_cell_angle_gamma 120.00
_symmetry_space_group_name_H-M 'R 3 m'
_symmetry_Int_Tables_number 160
_symmetry_space_group_name_Hall 'R 3 -2"'
loop_
_atom_site_label
_atom_site_type_symbol
_atom_site_fract_x
_atom_site_fract_y
_atom_site_fract_z
Sc1 Sc 0.0000 0.0000 0.0000
Sc2 Sc 0.0000 0.0000 0.1788
Ni1 Ni 0.0000 0.0000 0.5909
S1 S 0.0000 0.0000 0.7559
```

The uncorrected formation energy comes out at -0.988 eV/atom. The total magnetization comes out at 0.00 μB/cell. The density of states at the Fermi level is 2.3 states/eV/f.u.



Below is ScNiSe2S after structural relaxation, with properties calculated at the PBE level.

```
data_ScNiSe2S
_cell_length_a 4.7912
_cell_length_b 4.7912
_cell_length_c 4.2899
_cell_angle_alpha 90.00
_cell_angle_beta 90.00
_cell_angle_gamma 90.00
_symmetry_space_group_name_H-M 'P 4/m m m'
_symmetry_Int_Tables_number 123
_symmetry_space_group_name_Hall '-P 4 2'
loop_
_atom_site_label
_atom_site_type_symbol
_atom_site_fract_x
_atom_site_fract_y
_atom_site_fract_z
Sc1 Sc 0.0000 0.0000 0.0000
Ni1 Ni 0.5000 0.5000 0.5000
Se1 Se 0.0000 0.5000 0.5000
S1 S 0.5000 0.5000 0.0000
```

The uncorrected formation energy comes out at -0.360 eV/atom. The total magnetization comes out at 0.00 μB/cell. The density of states at the Fermi level is 3.4 states/eV/f.u.



Below is Ni4SeS after structural relaxation, with properties calculated at the PBE level.

```
data_Ni4SeS
_cell_length_a 6.8734
_cell_length_b 7.0007
_cell_length_c 3.7622
_cell_angle_alpha 90.00
_cell_angle_beta 90.00
_cell_angle_gamma 90.00
_symmetry_space_group_name_H-M 'C m m m'
_symmetry_Int_Tables_number 65
_symmetry_space_group_name_Hall '-C 2 2'
loop_
_atom_site_label
_atom_site_type_symbol
_atom_site_fract_x
_atom_site_fract_y
_atom_site_fract_z
Ni1 Ni 0.0000 0.1694 0.0000
Ni2 Ni 0.1905 0.5000 0.5000
Se1 Se 0.0000 0.5000 0.0000
S1 S 0.0000 0.0000 0.5000
```

The uncorrected formation energy comes out at 0.097 eV/atom. The total magnetization comes out at 0.00 μB/cell. The density of states at the Fermi level is 6.0 states/eV/f.u.



Below is NiSe2S after structural relaxation, with properties calculated at the PBE level.

```
data_NiSe2S
_cell_length_a 6.7214
_cell_length_b 4.5819
_cell_length_c 12.3033
_cell_angle_alpha 90.00
_cell_angle_beta 121.35
_cell_angle_gamma 90.00
_symmetry_space_group_name_H-M 'P 1 21/c 1'
_symmetry_Int_Tables_number 14
_symmetry_space_group_name_Hall '-P 2ybc'
loop_
_atom_site_label
_atom_site_type_symbol
_atom_site_fract_x
_atom_site_fract_y
_atom_site_fract_z
Ni1 Ni 0.1246 0.0279 0.3970
Se1 Se 0.1087 0.2180 0.0581
Se2 Se 0.4180 0.1697 0.9064
S1 S 0.2015 0.7291 0.2802
```

The uncorrected formation energy comes out at -0.100 eV/atom. The total magnetization comes out at 0.00 μB/cell. The density of states at the Fermi level is 1.1 states/eV/f.u.



Below is NiSeS4 after structural relaxation, with properties calculated at the PBE level.

```
data_NiSeS4
_cell_length_a 4.6431
_cell_length_b 5.6265
_cell_length_c 5.6272
_cell_angle_alpha 76.39
_cell_angle_beta 78.44
_cell_angle_gamma 76.34
_symmetry_space_group_name_H-M 'P -1'
_symmetry_Int_Tables_number 2
_symmetry_space_group_name_Hall '-P 1'
loop_
_atom_site_label
_atom_site_type_symbol
_atom_site_fract_x
_atom_site_fract_y
_atom_site_fract_z
Ni1 Ni 0.0000 0.0000 0.0000
Se1 Se 0.0000 0.5000 0.5000
S1 S 0.1573 0.9083 0.3723
S2 S 0.1578 0.3661 0.9141
```

The uncorrected formation energy comes out at 0.050 eV/atom. The total magnetization comes out at 0.00 μB/cell. The density of states at the Fermi level is 2.6 states/eV/f.u.



Below is NiSeS after structural relaxation, with properties calculated at the PBE level.

```
data_NiSeS
_cell_length_a 3.4631
_cell_length_b 3.4631
_cell_length_c 10.7116
_cell_angle_alpha 90.00
_cell_angle_beta 90.00
_cell_angle_gamma 120.00
_symmetry_space_group_name_H-M 'P -3 m 1'
_symmetry_Int_Tables_number 164
_symmetry_space_group_name_Hall '-P 3 2"'
loop_
_atom_site_label
_atom_site_type_symbol
_atom_site_fract_x
_atom_site_fract_y
_atom_site_fract_z
Ni1 Ni 0.3333 0.6667 0.2605
Se1 Se 0.3333 0.6667 0.8677
S1 S 0.3333 0.6667 0.6367
```

The uncorrected formation energy comes out at -0.082 eV/atom. The total magnetization comes out at 0.00 μB/cell. The calculation puts the polymorph energy (0 for the lowest one) at 158.6 meV per atom. The density of states at the Fermi level is 1.5 states/eV/f.u.



Copy entry 10 word for word.
Below is NiSeS after structural relaxation, with properties calculated at the PBE level.

```
data_NiSeS
_cell_length_a 3.4631
_cell_length_b 3.4631
_cell_length_c 10.7116
_cell_angle_alpha 90.00
_cell_angle_beta 90.00
_cell_angle_gamma 120.00
_symmetry_space_group_name_H-M 'P -3 m 1'
_symmetry_Int_Tables_number 164
_symmetry_space_group_name_Hall '-P 3 2"'
loop_
_atom_site_label
_atom_site_type_symbol
_atom_site_fract_x
_atom_site_fract_y
_atom_site_fract_z
Ni1 Ni 0.3333 0.6667 0.2605
Se1 Se 0.3333 0.6667 0.8677
S1 S 0.3333 0.6667 0.6367
```

The uncorrected formation energy comes out at -0.082 eV/atom. The total magnetization comes out at 0.00 μB/cell. The calculation puts the polymorph energy (0 for the lowest one) at 158.6 meV per atom. The density of states at the Fermi level is 1.5 states/eV/f.u.



Q: Which of these has the highest uncorrected formation energy?
A: number 4



Q: Which value of total magnetization does entry 5 give?
A: 0.00 μB/cell



Q: Which value of total magnetization does entry 2 give?
A: 2.96 μB/cell